A geometry-optimized Ba2CrPbO6 structure, computed with PBE with a Hubbard U.

space group	No. 12
total magnetization	2.0	μB per cell
energy	-6.344	eV per atom

Cell: 5.885 5.885 5.901 Å, 119.77 119.77 59.71°
Positions (direct):
Ba: 0.249 0.249 0.248
Ba: 0.751 0.751 0.752
Cr: 0.500 0.500 0.000
Pb: 0.000 0.000 0.500
O: 0.249 0.716 0.214
O: 0.257 0.257 0.721
O: 0.284 0.751 0.786
O: 0.716 0.249 0.214
O: 0.743 0.743 0.279
O: 0.751 0.284 0.786